Entry 1:
# CuNi4 | Alexandria | GGA-PBE | optimized geometry
data_CuNi4
_chemical_formula_sum 'Cu2 Ni8'
_cell_length_a 5.584
_cell_length_b 5.584
_cell_length_c 3.543
_cell_angle_alpha 90.00
_cell_angle_beta 90.00
_cell_angle_gamma 90.00
_space_group_name_H-M_alt 'I 4/m'
_space_group_IT_number 87
_space_group_name_Hall '-I 4'
loop_
_atom_site_label
_atom_site_type_symbol
_atom_site_fract_x
_atom_site_fract_y
_atom_site_fract_z
Cu1 Cu 0.000 0.000 0.000
Ni1 Ni 0.100 0.302 0.500
# **N(E_F)**: 1.4826 states/eV per atom
# **Total moment**: 4.02 μB per cell
# **ΔE_f**: 0.027 eV per atom
# **Calculated volume**: 11.05 A^3/atom
# **Final energy**: -5.417 eV/atom


Entry 2:
# Cu3Ni4 | Alexandria | GGA-PBE | optimized geometry
data_Cu3Ni4
_chemical_formula_sum 'Cu3 Ni4'
_cell_length_a 4.5966
_cell_length_b 4.5966
_cell_length_c 4.4780
_cell_angle_alpha 90.00
_cell_angle_beta 90.00
_cell_angle_gamma 120.00
_space_group_name_H-M_alt 'P 6/m m m'
_space_group_IT_number 191
_space_group_name_Hall '-P 6 2'
loop_
_atom_site_label
_atom_site_type_symbol
_atom_site_fract_x
_atom_site_fract_y
_atom_site_fract_z
Cu1 Cu 0.0000 0.5000 0.0000
Ni1 Ni 0.0000 0.0000 0.2563
Ni2 Ni 0.3333 0.6667 0.5000
# **N(E_F)**: 1.5239 states/eV per atom
# **Total moment**: 1.27 μB per cell
# **ΔE_f**: 0.213 eV per atom
# **Calculated volume**: 11.71 A^3/atom
# **Final energy**: -4.846 eV/atom